1.
The following is a PBE calculation of an optimized crystal structure of KTbPr2Te4, from Alexandria via LeMat-Bulk.

Computed properties:
ΔE_f (raw): -1363 meV/atom

Cell: 7.926 4.498 7.949 Å, 90.00 108.53 90.00°
Fractional coordinates of all 8 atoms:
1 K 0.000 0.000 0.000
2 Tb 0.000 0.500 0.500
3 Pr 0.500 0.000 0.500
4 Pr 0.500 0.500 0.000
5 Te 0.244 0.000 0.738
6 Te 0.254 0.500 0.263
7 Te 0.746 0.500 0.737
8 Te 0.756 0.000 0.262

2.
The following is a PBE calculation of an optimized crystal structure of AcSm2ThAs4, from Alexandria via LeMat-Bulk.

Computed properties:
Formation enthalpy at 0 K: -1.48 eV/atom

Cell: 7.430 4.306 7.478 Å, 90.00 109.43 90.00°
Fractional coordinates of all 8 atoms:
1 Ac 0.000 0.000 0.000
2 Sm 0.500 0.000 0.500
3 Sm 0.500 0.500 0.000
4 Th 0.000 0.500 0.500
5 As 0.255 0.000 0.743
6 As 0.260 0.500 0.263
7 As 0.740 0.500 0.737
8 As 0.745 0.000 0.257

3.
The following is a PBE calculation of an optimized crystal structure of NdCl3, from Alexandria via LeMat-Bulk.

Computed properties:
ΔE_f (raw): -2276 meV/atom

Cell: 8.137 3.997 8.726 Å, 90.00 113.88 90.00°
Fractional coordinates of all 8 atoms:
1 Nd 0.018 0.250 0.257
2 Nd 0.982 0.750 0.743
3 Cl 0.167 0.250 0.630
4 Cl 0.167 0.250 0.996
5 Cl 0.271 0.750 0.352
6 Cl 0.729 0.250 0.648
7 Cl 0.833 0.750 0.004
8 Cl 0.833 0.750 0.370

4.
The following is a PBE calculation of an optimized crystal structure of YPaInHg, from Alexandria via LeMat-Bulk.

Computed properties:
Formation enthalpy at 0 K: -0.08 eV/atom

Cell: 5.310 5.310 5.310 Å, 60.00 60.00 60.00°
Fractional coordinates of all 4 atoms:
1 Y 0.000 0.000 0.000
2 Pa 0.500 0.500 0.500
3 In 0.250 0.250 0.250
4 Hg 0.750 0.750 0.750

5.
The following is a PBE calculation of an optimized crystal structure of Zn5Ga12Bi3, from Alexandria via LeMat-Bulk.

Computed properties:
Formation enthalpy at 0 K: 0.18 eV/atom

Cell: 13.756 13.756 13.756 Å, 109.47 109.47 109.47°
Fractional coordinates of all 80 atoms:
1 Zn 0.000 0.000 0.000
2 Zn 0.000 0.000 0.500
3 Zn 0.000 0.500 0.000
4 Zn 0.000 0.500 0.500
5 Zn 0.125 0.750 0.875
6 Zn 0.125 0.875 0.250
7 Zn 0.250 0.125 0.875
8 Zn 0.250 0.625 0.375
9 Zn 0.375 0.250 0.625
10 Zn 0.375 0.625 0.750
11 Zn 0.500 0.000 0.000
12 Zn 0.500 0.000 0.500
13 Zn 0.500 0.500 0.000
14 Zn 0.500 0.500 0.500
15 Zn 0.625 0.375 0.250
16 Zn 0.625 0.750 0.375
17 Zn 0.750 0.375 0.625
18 Zn 0.750 0.875 0.125
19 Zn 0.875 0.125 0.750
20 Zn 0.875 0.250 0.125
21 Ga 0.038 0.209 0.116
22 Ga 0.038 0.330 0.922
23 Ga 0.078 0.616 0.407
24 Ga 0.078 0.962 0.670
25 Ga 0.093 0.709 0.670
26 Ga 0.093 0.884 0.422
27 Ga 0.116 0.038 0.209
28 Ga 0.116 0.578 0.907
29 Ga 0.170 0.209 0.593
30 Ga 0.170 0.462 0.578
31 Ga 0.209 0.116 0.038
32 Ga 0.209 0.593 0.170
33 Ga 0.291 0.330 0.907
34 Ga 0.291 0.462 0.384
35 Ga 0.330 0.907 0.291
36 Ga 0.330 0.922 0.038
37 Ga 0.384 0.291 0.462
38 Ga 0.384 0.593 0.922
39 Ga 0.407 0.078 0.616
40 Ga 0.407 0.830 0.791
41 Ga 0.422 0.093 0.884
42 Ga 0.422 0.830 0.538
43 Ga 0.462 0.384 0.291
44 Ga 0.462 0.578 0.170
45 Ga 0.538 0.422 0.830
46 Ga 0.538 0.616 0.709
47 Ga 0.578 0.170 0.462
48 Ga 0.578 0.907 0.116
49 Ga 0.593 0.170 0.209
50 Ga 0.593 0.922 0.384
51 Ga 0.616 0.407 0.078
52 Ga 0.616 0.709 0.538
53 Ga 0.670 0.078 0.962
54 Ga 0.670 0.093 0.709
55 Ga 0.709 0.538 0.616
56 Ga 0.709 0.670 0.093
57 Ga 0.791 0.407 0.830
58 Ga 0.791 0.884 0.962
59 Ga 0.830 0.538 0.422
60 Ga 0.830 0.791 0.407
61 Ga 0.884 0.422 0.093
62 Ga 0.884 0.962 0.791
63 Ga 0.907 0.116 0.578
64 Ga 0.907 0.291 0.330
65 Ga 0.922 0.038 0.330
66 Ga 0.922 0.384 0.593
67 Ga 0.962 0.670 0.078
68 Ga 0.962 0.791 0.884
69 Bi 0.125 0.250 0.375
70 Bi 0.125 0.375 0.750
71 Bi 0.250 0.375 0.125
72 Bi 0.250 0.875 0.625
73 Bi 0.375 0.125 0.250
74 Bi 0.375 0.750 0.125
75 Bi 0.625 0.250 0.875
76 Bi 0.625 0.875 0.750
77 Bi 0.750 0.125 0.375
78 Bi 0.750 0.625 0.875
79 Bi 0.875 0.625 0.250
80 Bi 0.875 0.750 0.625

6.
The following is a PBE calculation of an optimized crystal structure of Ho3SbC, from Alexandria via LeMat-Bulk.

Computed properties:
ΔE_f (raw): -627 meV/atom

Cell: 4.846 4.846 4.846 Å, 90.00 90.00 90.00°
Fractional coordinates of all 5 atoms:
1 Ho 0.000 0.000 0.500
2 Ho 0.000 0.500 0.000
3 Ho 0.500 0.000 0.000
4 Sb 0.500 0.500 0.500
5 C 0.000 0.000 0.000

| no. | Fermi-level density of states (states/eV/atom) |
| --- | --- |
| 1 | 0.42 |
| 2 | 0.21 |
| 3 | 0.00 |
| 4 | 2.10 |
| 5 | 0.41 |
| 6 | 0.59 |